Below is InPb2Cl after structural relaxation, with properties calculated at the PBE-GGA level.

abc: 5.681 5.681 3.523
angles: 90.00 90.00 90.13
Atoms (fractional coordinates):
In (0.000, 0.000, 0.000)
Pb (0.000, 0.500, 0.500)
Pb (0.500, 0.000, 0.500)
Cl (0.500, 0.500, 0.000)

Properties
* density: 8.247 g/cm³
* spin magnetization: 0.000 μB/f.u.
* formation energy from raw total energies: -0.25 eV per atom
* energy above the most stable polymorph in this dataset: 0.063 eV/atom

Below is OsRuICl2 after structural relaxation, with properties calculated at the PBE-GGA level.

abc: 4.619 4.619 5.064
angles: 90.00 90.00 90.00
Atoms (fractional coordinates):
Os (0.000, 0.000, 0.000)
Ru (0.000, 0.000, 0.500)
I (0.500, 0.500, 0.000)
Cl (0.000, 0.500, 0.500)
Cl (0.500, 0.000, 0.500)

Properties
* density: 7.517 g/cm³
* spin magnetization: 0.000 μB/f.u.
* formation energy from raw total energies: 0.94 eV per atom

Below is YZnP2 after structural relaxation, with properties calculated at the PBE-GGA level.

abc: 3.782 3.782 5.868
angles: 90.00 90.00 90.00
Atoms (fractional coordinates):
Y (0.000, 0.000, 0.000)
Zn (0.000, 0.000, 0.500)
P (0.500, 0.500, 0.191)
P (0.500, 0.500, 0.809)

Properties
* density: 4.278 g/cm³
* calculated formation energy: -0.46 eV/atom
* spin magnetization: 0.000 μB/f.u.

Number 1: final energy -3.248 eV per atom. Number 2: final energy -4.214 eV per atom. Number 3: final energy -5.103 eV per atom.